Compound: TbMnFe2
Source: Alexandria
Functional: PBE-GGA
Structure: optimized geometry

## Properties
The calculation puts the total DFT energy (no corrections) at -7.56 eV per atom. The calculation puts the energy of formation from the pure elements at 0.125 eV per atom. The density of states at the Fermi level comes out at 1.16 states/eV per atom.

Cell lengths 5.428, 5.428, 5.428 Å; angles 42.84, 42.84, 42.84 degrees
Fractional coordinates of all 4 atoms:
Tb 0.000 0.000 0.000
Mn 0.500 0.500 0.500
Fe 0.195 0.195 0.195
Fe 0.805 0.805 0.805

***

Compound: Al4Zn2Ni
Source: Alexandria
Functional: PBE-GGA
Structure: optimized geometry

## Properties
The calculation puts the total DFT energy (no corrections) at -3.17 eV per atom. The calculation puts the energy of formation from the pure elements at 0.154 eV per atom. The density of states at the Fermi level comes out at 0.35 states/eV per atom.

Cell lengths 7.169, 7.169, 7.169 Å; angles 143.15, 143.15, 53.10 degrees
Fractional coordinates of all 7 atoms:
Al 0.000 0.500 0.500
Al 0.179 0.179 0.000
Al 0.500 0.000 0.500
Al 0.821 0.821 0.000
Zn 0.372 0.372 0.000
Zn 0.628 0.628 0.000
Ni 0.000 0.000 0.000

***

Compound: HgSF
Source: Alexandria
Functional: PBE-GGA
Structure: optimized geometry

## Properties
The calculation puts the total DFT energy (no corrections) at -2.70 eV per atom. The energy above the lowest structure with this stoichiometry is 141 meV per atom.

Cell lengths 8.260, 8.260, 4.505 Å; angles 105.19, 105.19, 31.70 degrees
Fractional coordinates of all 6 atoms:
Hg 0.000 0.000 0.000
Hg 0.624 0.624 0.969
S 0.281 0.281 0.840
S 0.409 0.409 0.983
F 0.054 0.054 0.548
F 0.255 0.255 0.452

***

Compound: LiMgIr2
Source: Alexandria
Functional: PBE-GGA
Structure: optimized geometry

## Properties
The calculation puts the total DFT energy (no corrections) at -5.37 eV per atom. The calculation puts the energy of formation from the pure elements at -0.059 eV per atom. The density of states at the Fermi level comes out at 1.21 states/eV per atom.

Cell lengths 2.698, 2.698, 8.065 Å; angles 90.00, 90.00, 90.00 degrees
Fractional coordinates of all 4 atoms:
Li 0.000 0.000 0.000
Mg 0.000 0.000 0.500
Ir 0.500 0.500 0.248
Ir 0.500 0.500 0.752

***

Compound: Nd4CSe2O
Source: Alexandria
Functional: PBE-GGA
Structure: optimized geometry

## Properties
The calculation puts the total DFT energy (no corrections) at -6.68 eV per atom. The density of states at the Fermi level comes out at 0.39 states/eV per atom.

Cell lengths 6.671, 3.889, 7.150 Å; angles 90.00, 108.29, 90.00 degrees
Fractional coordinates of all 8 atoms:
Nd 0.234 0.000 0.206
Nd 0.258 0.500 0.795
Nd 0.742 0.500 0.205
Nd 0.766 0.000 0.794
C 0.000 0.500 0.000
Se 0.000 0.000 0.500
Se 0.500 0.500 0.500
O 0.500 0.000 0.000

***

Compound: Sr2LaMn
Source: Alexandria
Functional: PBE-GGA
Structure: optimized geometry

## Properties
The calculation puts the total DFT energy (no corrections) at -3.88 eV per atom. The calculation puts the energy of formation from the pure elements at 0.482 eV per atom. The energy above the lowest structure with this stoichiometry is 238 meV per atom. The density of states at the Fermi level comes out at 1.66 states/eV per atom.

Cell lengths 5.014, 5.091, 5.742 Å; angles 90.00, 90.00, 90.00 degrees
Fractional coordinates of all 4 atoms:
Sr 0.000 0.000 0.000
Sr 0.500 0.500 0.000
La 0.000 0.500 0.500
Mn 0.500 0.000 0.500

***

Compound: CsTc2HO8
Source: Alexandria
Functional: PBE-GGA
Structure: optimized geometry

## Properties
The calculation puts the total DFT energy (no corrections) at -6.62 eV per atom. The density of states at the Fermi level comes out at 0.00 states/eV per atom.

Cell lengths 6.815, 6.815, 8.094 Å; angles 117.00, 117.00, 44.75 degrees
Fractional coordinates of all 12 atoms:
Cs 0.000 0.000 0.000
Tc 0.175 0.175 0.641
Tc 0.825 0.825 0.359
H 0.500 0.500 0.500
O 0.175 0.632 0.346
O 0.177 0.177 0.428
O 0.322 0.322 0.833
O 0.368 0.825 0.654
O 0.632 0.175 0.346
O 0.678 0.678 0.167
O 0.823 0.823 0.572
O 0.825 0.368 0.654

***

Compound: MnZn5Ni4
Source: Alexandria
Functional: PBE-GGA
Structure: optimized geometry

## Properties
The calculation puts the total DFT energy (no corrections) at -4.04 eV per atom. The calculation puts the energy of formation from the pure elements at -0.169 eV per atom. The density of states at the Fermi level comes out at 0.63 states/eV per atom.

Cell lengths 2.937, 2.937, 14.361 Å; angles 90.00, 90.00, 90.00 degrees
Fractional coordinates of all 10 atoms:
Mn 0.000 0.000 0.000
Zn 0.500 0.500 0.109
Zn 0.500 0.500 0.304
Zn 0.500 0.500 0.500
Zn 0.500 0.500 0.696
Zn 0.500 0.500 0.891
Ni 0.000 0.000 0.206
Ni 0.000 0.000 0.402
Ni 0.000 0.000 0.598
Ni 0.000 0.000 0.794